Record 1
The following is a GGA-PBE calculation of a relaxed Ba2ZnBiPd crystal, from Alexandria via LeMat-Bulk.

Unit cell a=6.118 b=6.118 c=4.875 alpha=90.00 beta=90.00 gamma=90.00
Space group P4/mmm (No. 123)
Asymmetric unit:
Ba 0.000 0.500 0.000 x2
Zn 0.000 0.000 0.500 x1
Bi 0.500 0.500 0.500 x1
Pd 0.000 0.000 0.000 x1

Properties
* DOS at the Fermi energy: 2.2 states/eV/f.u.
* VASP energy: -3.376 eV per atom
* E_form: -537 meV/atom

Record 2
The following is a GGA-PBE calculation of a relaxed Sr2MoAs crystal, from Alexandria via LeMat-Bulk.

Unit cell a=3.264 b=3.264 c=9.588 alpha=90.00 beta=90.00 gamma=90.00
Space group P4/mmm (No. 123)
Asymmetric unit:
Sr 0.000 0.000 0.240 x2
Mo 0.500 0.500 0.500 x1
As 0.500 0.500 0.000 x1

Properties
* DOS at the Fermi energy: 2.6 states/eV/f.u.
* VASP energy: -4.347 eV per atom
* E_form: 364 meV/atom

Record 3
The following is a GGA-PBE calculation of a relaxed BeCd2Ag crystal, from Alexandria via LeMat-Bulk.

Unit cell a=2.923 b=4.350 c=5.656 alpha=90.00 beta=104.27 gamma=90.00
Space group P2/m (No. 10)
Asymmetric unit:
Be 0.000 0.000 0.000 x1
Cd 0.383 0.500 0.234 x2
Ag 0.000 0.000 0.500 x1

Properties
* DOS at the Fermi energy: 0.7 states/eV/f.u.
* VASP energy: -1.828 eV per atom
* E_form: 273 meV/atom

Record 4
The following is a GGA-PBE calculation of a relaxed PmTh2OsC4 crystal, from Alexandria via LeMat-Bulk.

Unit cell a=3.644 b=12.230 c=12.705 alpha=90.00 beta=90.00 gamma=90.00
Space group Cmcm (No. 63)
Asymmetric unit:
Pm 0.000 0.096 0.250 x4
Th 0.000 0.367 0.042 x8
Os 0.000 0.168 0.750 x4
C 0.000 0.000 0.000 x4
C 0.000 0.266 0.633 x8
C 0.000 0.412 0.250 x4

Properties
* DOS at the Fermi energy: 5.2 states/eV/f.u.
* VASP energy: -8.462 eV per atom
* E_form: 3 meV/atom